1.
# Pr3Ho3MgTe8

Crystalline Pr3Ho3MgTe8 at its relaxed geometry (PBE, Alexandria).

Computed properties:
energy	-74.56	eV/f.u.
SG	R-3m (166)
total magnetic moment	0.000	Bohr magnetons per cell
ΔE_f (raw)	-19.8	eV per formula unit

a b c (Å): 8.9020 8.9020 8.9020
angles (deg): 59.09 59.09 59.09
Closest atoms and distances in Å follow each position.
Atoms (fractional coordinates):
Pr: 0.0000 0.5000 0.5000  6 Te 3.19
Pr: 0.5000 0.0000 0.5000  6 Te 3.19
Pr: 0.5000 0.5000 0.0000  6 Te 3.19
Ho: 0.0000 0.0000 0.5000  6 Te 3.06
Ho: 0.0000 0.5000 0.0000  6 Te 3.06
Ho: 0.5000 0.0000 0.0000  6 Te 3.06
Mg: 0.5000 0.5000 0.5000  6 Te 3.05
Te: 0.2450 0.2450 0.2450  3 Ho 3.06, 3 Pr 3.19
Te: 0.2461 0.7438 0.7438  1 Mg 3.05, 2 Ho 3.06, 2 Pr 3.19
Te: 0.2562 0.2562 0.7539  1 Mg 3.05, 2 Ho 3.06, 2 Pr 3.19
Te: 0.2562 0.7539 0.2562  1 Mg 3.05, 2 Ho 3.06, 2 Pr 3.19
Te: 0.7438 0.2461 0.7438  1 Mg 3.05, 2 Ho 3.06, 2 Pr 3.19
Te: 0.7438 0.7438 0.2461  1 Mg 3.05, 2 Ho 3.06, 2 Pr 3.19
Te: 0.7539 0.2562 0.2562  1 Mg 3.05, 2 Ho 3.06, 2 Pr 3.19
Te: 0.7550 0.7550 0.7550  3 Ho 3.06, 3 Pr 3.19


2.
# Pr2HoMgTe5

Crystalline Pr2HoMgTe5 at its relaxed geometry (PBE, Alexandria).

Computed properties:
energy	-42.74	eV/f.u.
SG	Cmc2_1 (36)
total magnetic moment	0.000	Bohr magnetons per cell
ΔE_f (raw)	-11.3	eV per formula unit

a b c (Å): 9.8242 9.8242 13.5695
angles (deg): 90.00 90.00 154.35
Closest atoms and distances in Å follow each position.
Atoms (fractional coordinates):
Pr: 0.1121 0.8879 0.5000  8 Te 3.27-3.49
Pr: 0.1331 0.8669 0.1218  8 Te 3.27-3.48
Pr: 0.8669 0.1331 0.6218  8 Te 3.27-3.48
Pr: 0.8879 0.1121 0.0000  8 Te 3.27-3.49
Ho: 0.2048 0.7952 0.8304  6 Te 3.04-3.11
Ho: 0.7952 0.2048 0.3304  6 Te 3.04-3.11
Mg: 0.4435 0.5565 0.2739  4 Te 2.68-2.92
Mg: 0.5565 0.4435 0.7739  4 Te 2.68-2.92
Te: 0.0508 0.9492 0.8929  2 Mg 2.72
Te: 0.2827 0.7173 0.4876  2 Ho 3.06, 3 Pr 3.27
Te: 0.3106 0.6894 0.1681  1 Mg 2.92, 2 Ho 3.11
Te: 0.3629 0.6371 0.8167  1 Ho 3.04, 2 Pr 3.34
Te: 0.4964 0.5036 0.5954  1 Mg 2.68
Te: 0.5036 0.4964 0.0954  1 Mg 2.68
Te: 0.6371 0.3629 0.3167  1 Ho 3.04, 2 Pr 3.34
Te: 0.6894 0.3106 0.6681  1 Mg 2.92, 2 Ho 3.11
Te: 0.7173 0.2827 0.9876  2 Ho 3.06, 3 Pr 3.27
Te: 0.9492 0.0508 0.3929  2 Mg 2.72


3.
# PrHoMgTi

Crystalline PrHoMgTi at its relaxed geometry (PBE, Alexandria).

Computed properties:
energy	-18.25	eV/f.u.
energy relative to the elements	0.150	eV/atom
SG	F-43m (216)
total magnetic moment	7.543	Bohr magnetons per cell

a b c (Å): 7.5189 7.5189 7.5189
angles (deg): 90.00 90.00 90.00
Closest atoms and distances in Å follow each position.
Atoms (fractional coordinates):
Pr: 0.0000 0.0000 0.0000  4 Mg 3.26, 4 Ti 3.26
Pr: 0.0000 0.5000 0.5000  4 Ti 3.26, 4 Mg 3.26
Pr: 0.5000 0.0000 0.5000  4 Ti 3.26, 4 Mg 3.26
Pr: 0.5000 0.5000 0.0000  4 Mg 3.26, 4 Ti 3.26
Ho: 0.0000 0.0000 0.5000  4 Mg 3.26, 4 Ti 3.26
Ho: 0.0000 0.5000 0.0000  4 Mg 3.26, 4 Ti 3.26
Ho: 0.5000 0.0000 0.0000  4 Mg 3.26, 4 Ti 3.26
Ho: 0.5000 0.5000 0.5000  4 Mg 3.26, 4 Ti 3.26
Mg: 0.2500 0.2500 0.2500  4 Pr 3.26, 4 Ho 3.26
Mg: 0.2500 0.7500 0.7500  4 Pr 3.26, 4 Ho 3.26
Mg: 0.7500 0.2500 0.7500  4 Pr 3.26, 4 Ho 3.26
Mg: 0.7500 0.7500 0.2500  4 Pr 3.26, 4 Ho 3.26
Ti: 0.2500 0.2500 0.7500  4 Pr 3.26, 4 Ho 3.26
Ti: 0.2500 0.7500 0.2500  4 Pr 3.26, 4 Ho 3.26
Ti: 0.7500 0.2500 0.2500  4 Pr 3.26, 4 Ho 3.26
Ti: 0.7500 0.7500 0.7500  4 Pr 3.26, 4 Ho 3.26


4.
# PrHoMgTl

Crystalline PrHoMgTl at its relaxed geometry (PBE, Alexandria).

Computed properties:
energy	-14.28	eV/f.u.
energy relative to the elements	-0.241	eV/atom
SG	F-43m (216)
total magnetic moment	0.000	Bohr magnetons per cell

a b c (Å): 7.6840 7.6840 7.6840
angles (deg): 90.00 90.00 90.00
Closest atoms and distances in Å follow each position.
Atoms (fractional coordinates):
Pr: 0.0000 0.0000 0.0000  4 Tl 3.33, 4 Mg 3.33
Pr: 0.0000 0.5000 0.5000  4 Tl 3.33, 4 Mg 3.33
Pr: 0.5000 0.0000 0.5000  4 Tl 3.33, 4 Mg 3.33
Pr: 0.5000 0.5000 0.0000  4 Tl 3.33, 4 Mg 3.33
Ho: 0.0000 0.0000 0.5000  4 Tl 3.33, 4 Mg 3.33
Ho: 0.0000 0.5000 0.0000  4 Tl 3.33, 4 Mg 3.33
Ho: 0.5000 0.0000 0.0000  4 Tl 3.33, 4 Mg 3.33
Ho: 0.5000 0.5000 0.5000  4 Tl 3.33, 4 Mg 3.33
Mg: 0.2500 0.2500 0.7500  4 Pr 3.33, 4 Ho 3.33
Mg: 0.2500 0.7500 0.2500  4 Pr 3.33, 4 Ho 3.33
Mg: 0.7500 0.2500 0.2500  4 Pr 3.33, 4 Ho 3.33
Mg: 0.7500 0.7500 0.7500  4 Pr 3.33, 4 Ho 3.33
Tl: 0.2500 0.2500 0.2500  4 Ho 3.33, 4 Pr 3.33
Tl: 0.2500 0.7500 0.7500  4 Ho 3.33, 4 Pr 3.33
Tl: 0.7500 0.2500 0.7500  4 Ho 3.33, 4 Pr 3.33
Tl: 0.7500 0.7500 0.2500  4 Ho 3.33, 4 Pr 3.33


5.
# PrHoMg2Tl4

Crystalline PrHoMg2Tl4 at its relaxed geometry (PBE, Alexandria).

Computed properties:
energy	-23.79	eV/f.u.
energy relative to the elements	-0.223	eV/atom
SG	R-3m (166)
total magnetic moment	0.000	Bohr magnetons per cell

a b c (Å): 9.3542 9.3542 9.3542
angles (deg): 32.73 32.73 32.73
Closest atoms and distances in Å follow each position.
Atoms (fractional coordinates):
Pr: 0.0000 0.0000 0.0000  8 Tl 3.28-3.37
Ho: 0.5000 0.5000 0.5000  8 Tl 3.21-3.22
Mg: 0.2494 0.2494 0.2494  8 Tl 3.21-3.44
Mg: 0.7506 0.7506 0.7506  8 Tl 3.21-3.44
Tl: 0.1270 0.1270 0.1270  3 Ho 3.22, 4 Mg 3.25, 1 Pr 3.37
Tl: 0.3790 0.3790 0.3790  4 Mg 3.21-3.44, 1 Ho 3.21, 3 Pr 3.28
Tl: 0.6210 0.6210 0.6210  4 Mg 3.21-3.44, 1 Ho 3.21, 3 Pr 3.28
Tl: 0.8730 0.8730 0.8730  3 Ho 3.22, 4 Mg 3.25, 1 Pr 3.37


6.
# PrHo2MgTl4

Crystalline PrHo2MgTl4 at its relaxed geometry (PBE, Alexandria).

Computed properties:
energy	-27.28	eV/f.u.
energy relative to the elements	-0.286	eV/atom
SG	R-3m (166)
total magnetic moment	0.000	Bohr magnetons per cell

a b c (Å): 9.5617 9.5617 9.5617
angles (deg): 32.10 32.10 32.10
Closest atoms and distances in Å follow each position.
Atoms (fractional coordinates):
Pr: 0.0000 0.0000 0.0000  8 Tl 3.29-3.43
Ho: 0.2437 0.2437 0.2437  7 Tl 3.20-3.28
Ho: 0.7563 0.7563 0.7563  7 Tl 3.20-3.28
Mg: 0.5000 0.5000 0.5000  8 Tl 3.25-3.29
Tl: 0.1260 0.1260 0.1260  4 Ho 3.20-3.21, 3 Mg 3.25, 1 Pr 3.43
Tl: 0.3788 0.3788 0.3788  4 Ho 3.28-3.67, 3 Pr 3.29, 1 Mg 3.29
Tl: 0.6212 0.6212 0.6212  4 Ho 3.28-3.67, 3 Pr 3.29, 1 Mg 3.29
Tl: 0.8740 0.8740 0.8740  4 Ho 3.20-3.21, 3 Mg 3.25, 1 Pr 3.43


7.
# Pr2Ho2TmMg5

Crystalline Pr2Ho2TmMg5 at its relaxed geometry (PBE, Alexandria).

Computed properties:
energy	-30.84	eV/f.u.
energy relative to the elements	0.032	eV/atom
SG	P4/mbm (127)
total magnetic moment	0.000	Bohr magnetons per cell

a b c (Å): 10.6128 10.6128 5.0686
angles (deg): 90.00 90.00 90.00
Closest atoms and distances in Å follow each position.
Atoms (fractional coordinates):
Pr: 0.1765 0.3235 0.0000  3 Ho 3.05-3.21
Pr: 0.3235 0.8235 0.0000  3 Ho 3.05-3.21
Pr: 0.6765 0.1765 0.0000  3 Ho 3.05-3.21
Pr: 0.8235 0.6765 0.0000  3 Ho 3.05-3.21
Ho: 0.1204 0.6204 0.0000  3 Pr 3.05-3.21, 6 Mg 3.11-3.23
Ho: 0.3796 0.1204 0.0000  3 Pr 3.05-3.21, 6 Mg 3.11-3.23
Ho: 0.6204 0.8796 0.0000  3 Pr 3.05-3.21, 6 Mg 3.11-3.23
Ho: 0.8796 0.3796 0.0000  3 Pr 3.05-3.21, 6 Mg 3.11-3.23
Tm: 0.0000 0.0000 0.0000  8 Mg 3.37
Tm: 0.5000 0.5000 0.0000  8 Mg 3.37
Mg: 0.0000 0.5000 0.5000  4 Ho 3.11, 4 Mg 3.29
Mg: 0.0688 0.8025 0.5000  4 Mg 3.14-3.51, 2 Ho 3.23, 2 Tm 3.37
Mg: 0.1975 0.0688 0.5000  4 Mg 3.14-3.51, 2 Ho 3.23, 2 Tm 3.37
Mg: 0.3025 0.5688 0.5000  4 Mg 3.14-3.51, 2 Ho 3.23, 2 Tm 3.37
Mg: 0.4312 0.3025 0.5000  4 Mg 3.14-3.51, 2 Ho 3.23, 2 Tm 3.37
Mg: 0.5000 0.0000 0.5000  4 Ho 3.11, 4 Mg 3.29
Mg: 0.5688 0.6975 0.5000  4 Mg 3.14-3.51, 2 Ho 3.23, 2 Tm 3.37
Mg: 0.6975 0.4312 0.5000  4 Mg 3.14-3.51, 2 Ho 3.23, 2 Tm 3.37
Mg: 0.8025 0.9312 0.5000  4 Mg 3.14-3.51, 2 Ho 3.23, 2 Tm 3.37
Mg: 0.9312 0.1975 0.5000  4 Mg 3.14-3.51, 2 Ho 3.23, 2 Tm 3.37


8.
# PrHoTmMg

Crystalline PrHoTmMg at its relaxed geometry (PBE, Alexandria).

Computed properties:
energy	-15.31	eV/f.u.
energy relative to the elements	0.028	eV/atom
energy above the most stable polymorph in this dataset	0	meV per atom
SG	F-43m (216)
total magnetic moment	0.000	Bohr magnetons per cell

a b c (Å): 7.8346 7.8346 7.8346
angles (deg): 90.00 90.00 90.00
Closest atoms and distances in Å follow each position.
Atoms (fractional coordinates):
Pr: 0.0000 0.0000 0.0000  4 Mg 3.39, 4 Tm 3.39
Pr: 0.0000 0.5000 0.5000  4 Mg 3.39, 4 Tm 3.39
Pr: 0.5000 0.0000 0.5000  4 Mg 3.39, 4 Tm 3.39
Pr: 0.5000 0.5000 0.0000  4 Mg 3.39, 4 Tm 3.39
Ho: 0.0000 0.0000 0.5000  4 Mg 3.39, 4 Tm 3.39
Ho: 0.0000 0.5000 0.0000  4 Mg 3.39, 4 Tm 3.39
Ho: 0.5000 0.0000 0.0000  4 Mg 3.39, 4 Tm 3.39
Ho: 0.5000 0.5000 0.5000  4 Mg 3.39, 4 Tm 3.39
Tm: 0.2500 0.2500 0.2500  4 Pr 3.39, 4 Ho 3.39
Tm: 0.2500 0.7500 0.7500  4 Pr 3.39, 4 Ho 3.39
Tm: 0.7500 0.2500 0.7500  4 Pr 3.39, 4 Ho 3.39
Tm: 0.7500 0.7500 0.2500  4 Pr 3.39, 4 Ho 3.39
Mg: 0.2500 0.2500 0.7500  4 Pr 3.39, 4 Ho 3.39
Mg: 0.2500 0.7500 0.2500  4 Pr 3.39, 4 Ho 3.39
Mg: 0.7500 0.2500 0.2500  4 Pr 3.39, 4 Ho 3.39
Mg: 0.7500 0.7500 0.7500  4 Pr 3.39, 4 Ho 3.39


9.
# Pr2Ho4TmMg

Crystalline Pr2Ho4TmMg at its relaxed geometry (PBE, Alexandria).

Computed properties:
energy	-33.66	eV/f.u.
energy relative to the elements	0.035	eV/atom
SG	Pmmm (47)
total magnetic moment	0.001	Bohr magnetons per cell

a b c (Å): 4.9718 4.9846 10.1209
angles (deg): 90.00 90.00 90.00
Closest atoms and distances in Å follow each position.
Atoms (fractional coordinates):
Pr: 0.0000 0.0000 0.0000  4 Tm 3.52, 8 Ho 3.54-3.55
Pr: 0.5000 0.5000 0.5000  4 Mg 3.52, 8 Ho 3.55
Ho: 0.0000 0.5000 0.2493  4 Ho 3.52, 2 Tm 3.54, 4 Pr 3.55, 2 Mg 3.56
Ho: 0.0000 0.5000 0.7507  4 Ho 3.52, 2 Tm 3.54, 4 Pr 3.55, 2 Mg 3.56
Ho: 0.5000 0.0000 0.2496  4 Ho 3.52, 4 Pr 3.54-3.55, 2 Tm 3.55, 2 Mg 3.55
Ho: 0.5000 0.0000 0.7504  4 Ho 3.52, 4 Pr 3.54-3.55, 2 Tm 3.55, 2 Mg 3.55
Tm: 0.5000 0.5000 0.0000  4 Pr 3.52, 8 Ho 3.54-3.55
Mg: 0.0000 0.0000 0.5000  4 Pr 3.52, 8 Ho 3.55-3.56


10.
# PrHoTmMg

Crystalline PrHoTmMg at its relaxed geometry (PBE, Alexandria).

Computed properties:
energy	-15.11	eV/f.u.
energy relative to the elements	0.078	eV/atom
energy above the most stable polymorph in this dataset	50	meV per atom
SG	Pm (6)
total magnetic moment	0.000	Bohr magnetons per cell

a b c (Å): 3.4533 3.4998 10.3441
angles (deg): 90.00 99.60 90.00
Closest atoms and distances in Å follow each position.
Atoms (fractional coordinates):
Pr: 0.0000 0.0000 0.0000  4 Mg 3.44-3.45, 4 Pr 3.45-3.50, 2 Ho 3.57
Ho: 0.1536 0.5000 0.3055  4 Tm 3.45, 4 Ho 3.45-3.50, 2 Pr 3.57
Tm: 0.7723 0.0000 0.5431  4 Mg 3.33, 4 Ho 3.45, 4 Tm 3.45-3.50
Mg: 0.3836 0.5000 0.7635  4 Tm 3.33, 4 Pr 3.44-3.45, 4 Mg 3.45-3.50


11.
# Pr6Ho2Tm3Mg

Crystalline Pr6Ho2Tm3Mg at its relaxed geometry (PBE, Alexandria).

Computed properties:
energy	-52.55	eV/f.u.
energy relative to the elements	0.024	eV/atom
SG	C2/m (12)
total magnetic moment	0.000	Bohr magnetons per cell

a b c (Å): 6.2463 6.2463 11.7695
angles (deg): 95.09 95.09 120.03
Closest atoms and distances in Å follow each position.
Atoms (fractional coordinates):
Pr: 0.0829 0.4156 0.2498  1 Mg 3.56, 2 Ho 3.57, 3 Tm 3.57, 6 Pr 3.60-3.61
Pr: 0.2498 0.2498 0.7492  3 Tm 3.56, 2 Ho 3.57, 1 Mg 3.57, 6 Pr 3.60-3.61
Pr: 0.4156 0.0829 0.2498  1 Mg 3.56, 2 Ho 3.57, 3 Tm 3.57, 6 Pr 3.60-3.61
Pr: 0.5844 0.9171 0.7502  1 Mg 3.56, 2 Ho 3.57, 3 Tm 3.57, 6 Pr 3.60-3.61
Pr: 0.7502 0.7502 0.2508  3 Tm 3.56, 2 Ho 3.57, 1 Mg 3.57, 6 Pr 3.60-3.61
Pr: 0.9171 0.5844 0.7502  1 Mg 3.56, 2 Ho 3.57, 3 Tm 3.57, 6 Pr 3.60-3.61
Ho: 0.3334 0.6666 0.0000  6 Pr 3.57, 3 Mg 3.60-3.61, 3 Ho 3.61
Ho: 0.6666 0.3334 0.0000  6 Pr 3.57, 3 Mg 3.60-3.61, 3 Ho 3.61
Tm: 0.1667 0.8333 0.5000  6 Pr 3.56-3.57, 6 Tm 3.60-3.61
Tm: 0.5000 0.5000 0.5000  6 Pr 3.56-3.57, 6 Tm 3.61
Tm: 0.8333 0.1667 0.5000  6 Pr 3.56-3.57, 6 Tm 3.60-3.61
Mg: 0.0000 0.0000 0.0000  6 Pr 3.56-3.57, 6 Ho 3.60-3.61


12.
# PrY4Ho2Mg

Crystalline PrY4Ho2Mg at its relaxed geometry (PBE, Alexandria).

Computed properties:
energy	-40.60	eV/f.u.
energy relative to the elements	0.098	eV/atom
SG	P4/mmm (123)
total magnetic moment	0.947	Bohr magnetons per cell

a b c (Å): 5.8101 5.8101 7.4779
angles (deg): 90.00 90.00 90.00
Closest atoms and distances in Å follow each position.
Atoms (fractional coordinates):
Pr: 0.0000 0.0000 0.0000  8 Y 3.44, 2 Ho 3.74
Y: 0.0000 0.5000 0.2470  2 Mg 3.44, 2 Pr 3.44, 4 Ho 3.47, 2 Y 3.69-3.78
Y: 0.0000 0.5000 0.7530  2 Mg 3.44, 2 Pr 3.44, 4 Ho 3.47, 2 Y 3.69-3.78
Y: 0.5000 0.0000 0.2470  2 Mg 3.44, 2 Pr 3.44, 4 Ho 3.47, 2 Y 3.69-3.78
Y: 0.5000 0.0000 0.7530  2 Mg 3.44, 2 Pr 3.44, 4 Ho 3.47, 2 Y 3.69-3.78
Ho: 0.0000 0.0000 0.5000  8 Y 3.47, 2 Pr 3.74
Ho: 0.5000 0.5000 0.5000  8 Y 3.47, 2 Mg 3.74
Mg: 0.5000 0.5000 0.0000  8 Y 3.44, 2 Ho 3.74


The highest total magnetic moment belongs to which entry? PrHoMgTi


The highest total magnetic moment belongs to which entry? PrHoMgTi